Compound: LiScPb
Source: Alexandria via LeMat-Bulk
Functional: PBE-GGA
Structure: relaxed

extended XYZ file:
```
6
Lattice="4.984 0.000 0.000 0.000 1.734 -7.829 0.000 1.734 7.829" Properties=species:S:1:pos:R:3 pbc="T T T"
Sc 0.000 1.734 -0.893
Sc 0.000 1.734 4.226
Li 2.492 1.734 7.533
Li 2.492 1.734 2.138
Pb 0.000 1.734 -6.222
Pb 2.492 1.734 -2.715
```

Properties
* V: 135.4 Å³ per cell
* ΔH_f (0 K): -0.306 eV/atom